Here is a crystal of V3Ga2N relaxed with PBEsol from Alexandria via LeMat-Bulk. Energies are from meta-GGA SCAN.

SG   P4_132 (213)
E_form (uncorrected)   -0.73 eV per atom
E_tot   -1.211 Ry/atom
N(E_F)   13.02 states/eV per cell

Unit cell a=6.527 b=6.527 c=6.527 alpha=90.00 beta=90.00 gamma=90.00
Sites, in units of the cell vectors:
V: 0.793 0.957 0.375
V: 0.707 0.043 0.875
V: 0.207 0.457 0.125
V: 0.293 0.543 0.625
V: 0.957 0.375 0.793
V: 0.043 0.875 0.707
V: 0.457 0.125 0.207
V: 0.543 0.625 0.293
V: 0.375 0.793 0.957
V: 0.875 0.707 0.043
V: 0.125 0.207 0.457
V: 0.625 0.293 0.543
Ga: 0.181 0.819 0.319
Ga: 0.319 0.181 0.819
Ga: 0.819 0.319 0.181
Ga: 0.681 0.681 0.681
Ga: 0.569 0.431 0.931
Ga: 0.431 0.931 0.569
Ga: 0.931 0.569 0.431
Ga: 0.069 0.069 0.069
N: 0.875 0.125 0.625
N: 0.625 0.875 0.125
N: 0.125 0.625 0.875
N: 0.375 0.375 0.375